Entry 1:
Compound: Nd2YAg2
Source: Alexandria
Functional: PBE
Structure: relaxed

Cell lengths 3.7138, 5.3443, 13.9554 Å; angles 90.00, 97.63, 90.00 degrees
Atoms (fractional coordinates):
Ag1 0.4493 0.7500 0.8969
Ag2 0.3593 0.2500 0.7189
Ag3 0.5507 0.2500 0.1031
Ag4 0.6407 0.7500 0.2811
Nd1 0.0458 0.7500 0.0933
Nd2 0.9542 0.2500 0.9067
Nd3 0.7658 0.2500 0.5329
Nd4 0.2342 0.7500 0.4671
Y1 0.8549 0.7500 0.7099
Y2 0.1451 0.2500 0.2901

Results
* energy of formation: -198.6 meV/atom
* crystal system: orthorhombic
* SG: Cmcm (63)

Entry 2:
Compound: HfTa
Source: Alexandria
Functional: PBE
Structure: relaxed

Cell lengths 3.0070, 4.7441, 5.8244 Å; angles 90.00, 76.26, 90.00 degrees
Atoms (fractional coordinates):
Hf1 0.1499 0.7500 0.1423
Hf2 0.8501 0.2500 0.8577
Ta1 0.5681 0.7500 0.6170
Ta2 0.4319 0.2500 0.3830

Results
* energy of formation: 105.6 meV/atom
* crystal system: monoclinic
* SG: P2_1/m (11)

Entry 3:
Compound: Sr3CaBr
Source: Alexandria
Functional: PBE
Structure: relaxed

Cell lengths 7.1508, 7.1508, 7.1508 Å; angles 90.00, 90.00, 90.00 degrees
Atoms (fractional coordinates):
Ca1 0.0000 0.0000 0.0000
Br1 0.5000 0.5000 0.5000
Sr1 0.0000 0.0000 0.5000
Sr2 0.0000 0.5000 0.0000
Sr3 0.5000 0.0000 0.0000

Results
* total DFT energy (no corrections): -1.460 eV per atom
* crystal system: cubic
* SG: Pm-3m (221)

Entry 4:
Compound: La2NdAg2Hg2
Source: Alexandria
Functional: PBE
Structure: relaxed

Cell lengths 4.9621, 4.9621, 9.5041 Å; angles 74.87, 74.87, 60.00 degrees
Atoms (fractional coordinates):
Hg1 0.7353 0.7353 0.7942
Hg2 0.2647 0.2647 0.2058
Ag1 0.3947 0.3947 0.8160
Ag2 0.6053 0.6053 0.1840
Nd1 0.0000 0.0000 0.0000
La1 0.8768 0.8768 0.3697
La2 0.1232 0.1232 0.6303

Results
* energy of formation: -283.5 meV/atom
* crystal system: trigonal
* SG: R-3m (166)

Entry 5:
Compound: Pr2YHo4Mg
Source: Alexandria
Functional: PBE
Structure: relaxed

Cell lengths 4.9861, 4.9988, 11.3231 Å; angles 63.78, 90.00, 90.00 degrees
Atoms (fractional coordinates):
Mg1 0.5000 0.5000 0.0000
Pr1 0.0000 0.0000 0.0000
Pr2 0.5000 0.0000 0.5000
Ho1 0.0000 0.2514 0.2486
Ho2 0.5000 0.7510 0.2489
Ho3 0.0000 0.7486 0.7514
Ho4 0.5000 0.2490 0.7511
Y1 0.0000 0.5000 0.5000

Results
* energy of formation: 34.7 meV/atom
* crystal system: orthorhombic
* SG: Pmmm (47)

Entry 6:
Compound: LiCeSm2
Source: Alexandria
Functional: PBE
Structure: relaxed

Cell lengths 3.5675, 3.5675, 9.0199 Å; angles 90.00, 90.00, 90.00 degrees
Atoms (fractional coordinates):
Ce1 0.5000 0.5000 0.5000
Sm1 0.0000 0.0000 0.7618
Sm2 0.0000 0.0000 0.2382
Li1 0.5000 0.5000 0.0000

Results
* energy of formation: 91.1 meV/atom
* crystal system: tetragonal
* SG: P4/mmm (123)

Entry 7:
Compound: TbPuSc2
Source: Alexandria
Functional: PBE
Structure: relaxed

Cell lengths 4.7228, 6.6906, 6.7243 Å; angles 90.00, 90.00, 90.00 degrees
Last column: magnetic moment on the atom in μB.
Atoms (fractional coordinates):
Pu1 0.0000 0.2500 0.5003  5.47
Pu2 0.0000 0.7500 0.4997  5.47
Tb1 0.0000 0.7500 0.9990  0.02
Tb2 0.0000 0.2500 0.0010  0.02
Sc1 0.5000 0.5000 0.2604  0.15
Sc2 0.5000 0.0000 0.7396  0.15
Sc3 0.5000 0.0000 0.2604  0.15
Sc4 0.5000 0.5000 0.7396  0.15

Results
* energy of formation: 106.4 meV/atom
* crystal system: orthorhombic
* SG: Pmma (51)